Entry 1:
A plane-wave DFT calculation with PBE was carried out for LiAgF2 after structural relaxation.

## Properties
SG   C2/c
Raw formation energy   -1.89 eV/atom
Relative energy among the computed polymorphs   66 meV per atom

a = 6.3984 Å, b = 6.3984 Å, c = 6.6965 Å
α = 89.89°, β = 89.89°, γ = 127.26°
Closest atoms and distances in Å follow each position.
Atoms (fractional coordinates):
F1 0.4009 0.5991 0.7500  2 Li 1.86
F2 0.4051 0.0968 0.6341  2 Li 1.87-1.88
F3 0.9009 0.0991 0.7500  2 Li 1.86
F4 0.9032 0.5949 0.8659  2 Li 1.87-1.88
F5 0.0991 0.9009 0.2500  2 Li 1.86
F6 0.5991 0.4009 0.2500  2 Li 1.86
F7 0.0968 0.4051 0.1341  2 Li 1.87-1.88
F8 0.5949 0.9032 0.3659  2 Li 1.87-1.88
Ag1 0.6794 0.8175 0.0519  3 F 2.32-2.50
Ag2 0.1825 0.3206 0.4481  3 F 2.32-2.50
Ag3 0.8175 0.6794 0.5519  3 F 2.32-2.50
Ag4 0.3206 0.1825 0.9481  3 F 2.32-2.50
Li1 0.5678 0.9336 0.6419  4 F 1.86-1.88
Li2 0.0664 0.4322 0.8581  4 F 1.86-1.88
Li3 0.4322 0.0664 0.3581  4 F 1.86-1.88
Li4 0.9336 0.5678 0.1419  4 F 1.86-1.88

***

Entry 2:
A plane-wave DFT calculation with PBE was carried out for Hg2SbC after structural relaxation.

## Properties
SG   Fm-3m
Raw formation energy   1.62 eV/atom
Relative energy among the computed polymorphs   449 meV per atom

a = 4.9363 Å, b = 4.9363 Å, c = 4.9363 Å
α = 60.00°, β = 60.00°, γ = 60.00°
Closest atoms and distances in Å follow each position.
Atoms (fractional coordinates):
Sb1 0.5000 0.5000 0.5000  8 Hg 3.02
C1 0.0000 0.0000 0.0000  8 Hg 3.02
Hg1 0.7500 0.7500 0.7500  4 Sb 3.02, 4 C 3.02
Hg2 0.2500 0.2500 0.2500  4 Sb 3.02, 4 C 3.02

***

Entry 3:
A plane-wave DFT calculation with PBE was carried out for NpNiSb3 after structural relaxation.

## Properties
SG   Pbcm
Raw formation energy   -0.24 eV/atom

a = 6.0066 Å, b = 6.1336 Å, c = 12.4278 Å
α = 90.00°, β = 90.00°, γ = 90.00°
Closest atoms and distances in Å follow each position.
Atoms (fractional coordinates):
Sb1 0.5000 0.7500 0.5027  4 Sb 3.00-3.07, 4 Np 3.23-3.24
Sb2 0.2500 0.5966 0.0580  4 Ni 2.61-2.65
Sb3 0.7500 0.9930 0.7673  2 Ni 2.71
Sb4 0.2500 0.0070 0.2327  2 Ni 2.71
Sb5 0.7500 0.4930 0.2327  2 Ni 2.71
Sb6 0.7500 0.4034 0.9420  4 Ni 2.61-2.65
Sb7 0.0000 0.2500 0.4973  4 Sb 3.00-3.07, 4 Np 3.23-3.24
Sb8 0.2500 0.0966 0.9420  4 Ni 2.61-2.65
Sb9 0.2500 0.5070 0.7673  2 Ni 2.71
Sb10 0.0000 0.7500 0.5027  4 Sb 3.00-3.07, 4 Np 3.23-3.24
Sb11 0.5000 0.2500 0.4973  4 Sb 3.00-3.07, 4 Np 3.23-3.24
Sb12 0.7500 0.9034 0.0580  4 Ni 2.61-2.65
Ni1 0.0000 0.2500 0.0960  6 Sb 2.61-2.71
Ni2 0.0000 0.7500 0.9040  6 Sb 2.61-2.71
Ni3 0.5000 0.2500 0.0960  6 Sb 2.61-2.71
Ni4 0.5000 0.7500 0.9040  6 Sb 2.61-2.71
Np1 0.7500 0.4936 0.6951  9 Sb 3.12-3.24, 2 Ni 3.39
Np2 0.7500 0.9936 0.3049  9 Sb 3.12-3.24, 2 Ni 3.39
Np3 0.2500 0.5064 0.3049  9 Sb 3.12-3.24, 2 Ni 3.39
Np4 0.2500 0.0064 0.6951  9 Sb 3.12-3.24, 2 Ni 3.39

***

Question: Look up the raw formation energy of the third one.
Answer: -0.24 eV/atom

***

Question: Which formula does entry 1 have?
Answer: LiAgF2